No. 1
# SiPd2S | Alexandria via LeMat-Bulk | GGA-PBE | relaxed
data_SiPd2S
_chemical_formula_sum 'Si2 Pd4 S2'
_cell_length_a 8.1411
_cell_length_b 8.1411
_cell_length_c 8.1411
_cell_angle_alpha 149.69
_cell_angle_beta 149.69
_cell_angle_gamma 43.40
_space_group_name_H-M_alt 'P 1'
_space_group_IT_number 1
_space_group_name_Hall 'P 1'
loop_
_atom_site_label
_atom_site_type_symbol
_atom_site_fract_x
_atom_site_fract_y
_atom_site_fract_z
Si1 Si 0.0000 0.0000 0.0000
Si2 Si 0.7500 0.2500 0.5000
Pd1 Pd 0.1200 0.6250 0.9950
Pd2 Pd 0.3750 0.3700 0.4950
Pd3 Pd 0.6300 0.1250 0.0050
Pd4 Pd 0.8750 0.8800 0.5050
S1 S 0.2500 0.7500 0.5000
S2 S 0.5000 0.5000 0.0000
# Space group   No. 122
# E above lowest polymorph   0 kJ/mol of formula units
# Calculated density   6.61 Mg/m³

No. 2
# Si2PdS | Alexandria via LeMat-Bulk | GGA-PBE | relaxed
data_Si2PdS
_chemical_formula_sum 'Si4 Pd2 S2'
_cell_length_a 6.4236
_cell_length_b 6.4236
_cell_length_c 6.4236
_cell_angle_alpha 127.80
_cell_angle_beta 127.80
_cell_angle_gamma 76.95
_space_group_name_H-M_alt 'P 1'
_space_group_IT_number 1
_space_group_name_Hall 'P 1'
loop_
_atom_site_label
_atom_site_type_symbol
_atom_site_fract_x
_atom_site_fract_y
_atom_site_fract_z
Si1 Si 0.1156 0.6250 0.9906
Si2 Si 0.3750 0.3656 0.4906
Si3 Si 0.6344 0.1250 0.0094
Si4 Si 0.8750 0.8844 0.5094
Pd1 Pd 0.0000 0.0000 0.0000
Pd2 Pd 0.7500 0.2500 0.5000
S1 S 0.2500 0.7500 0.5000
S2 S 0.5000 0.5000 0.0000
# Space group   No. 122
# E above lowest polymorph   0 kJ/mol of formula units
# Calculated density   4.02 Mg/m³

No. 3
# Si3PdS | Alexandria via LeMat-Bulk | GGA-PBE | relaxed
data_Si3PdS
_chemical_formula_sum 'Si3 Pd1 S1'
_cell_length_a 4.6776
_cell_length_b 4.6776
_cell_length_c 4.6776
_cell_angle_alpha 90.00
_cell_angle_beta 90.00
_cell_angle_gamma 90.00
_space_group_name_H-M_alt 'P 1'
_space_group_IT_number 1
_space_group_name_Hall 'P 1'
loop_
_atom_site_label
_atom_site_type_symbol
_atom_site_fract_x
_atom_site_fract_y
_atom_site_fract_z
Si1 Si 0.0000 0.0000 0.5000
Si2 Si 0.0000 0.5000 0.0000
Si3 Si 0.5000 0.0000 0.0000
Pd1 Pd 0.0000 0.0000 0.0000
S1 S 0.5000 0.5000 0.5000
# Space group   No. 221
# E above lowest polymorph   0 kJ/mol of formula units
# Calculated density   3.61 Mg/m³

No. 4
# Sr2SiPdS | Alexandria via LeMat-Bulk | GGA-PBE | relaxed
data_Sr2SiPdS
_chemical_formula_sum 'Sr2 Si1 Pd1 S1'
_cell_length_a 5.9136
_cell_length_b 5.9136
_cell_length_c 4.3865
_cell_angle_alpha 90.00
_cell_angle_beta 90.00
_cell_angle_gamma 90.00
_space_group_name_H-M_alt 'P 1'
_space_group_IT_number 1
_space_group_name_Hall 'P 1'
loop_
_atom_site_label
_atom_site_type_symbol
_atom_site_fract_x
_atom_site_fract_y
_atom_site_fract_z
Sr1 Sr 0.0000 0.5000 0.0000
Sr2 Sr 0.5000 0.0000 0.0000
Si1 Si 0.0000 0.0000 0.5000
Pd1 Pd 0.5000 0.5000 0.0000
S1 S 0.5000 0.5000 0.5000
# Space group   No. 123
# Total energy   -19.607 eV/f.u.
# Calculated density   3.70 Mg/m³

No. 5
# TaSiPdS2 | Alexandria via LeMat-Bulk | GGA-PBE | relaxed
data_TaSiPdS2
_chemical_formula_sum 'Ta1 Si1 Pd1 S2'
_cell_length_a 4.4260
_cell_length_b 4.4260
_cell_length_c 4.5836
_cell_angle_alpha 90.00
_cell_angle_beta 90.00
_cell_angle_gamma 90.00
_space_group_name_H-M_alt 'P 1'
_space_group_IT_number 1
_space_group_name_Hall 'P 1'
loop_
_atom_site_label
_atom_site_type_symbol
_atom_site_fract_x
_atom_site_fract_y
_atom_site_fract_z
Ta1 Ta 0.0000 0.0000 0.0000
Si1 Si 0.5000 0.5000 0.5000
Pd1 Pd 0.5000 0.5000 0.0000
S1 S 0.0000 0.5000 0.5000
S2 S 0.5000 0.0000 0.5000
# Space group   No. 123
# Total energy   -27.182 eV/f.u.
# Calculated density   7.02 Mg/m³

No. 6
# VSiPd2S | Alexandria via LeMat-Bulk | GGA-PBE | relaxed
data_VSiPd2S
_chemical_formula_sum 'V1 Si1 Pd2 S1'
_cell_length_a 4.4715
_cell_length_b 4.4715
_cell_length_c 4.6740
_cell_angle_alpha 90.00
_cell_angle_beta 90.00
_cell_angle_gamma 90.00
_space_group_name_H-M_alt 'P 1'
_space_group_IT_number 1
_space_group_name_Hall 'P 1'
loop_
_atom_site_label
_atom_site_type_symbol
_atom_site_fract_x
_atom_site_fract_y
_atom_site_fract_z
V1 V 0.0000 0.0000 0.0000
Si1 Si 0.5000 0.5000 0.5000
Pd1 Pd 0.0000 0.5000 0.5000
Pd2 Pd 0.5000 0.0000 0.5000
S1 S 0.5000 0.5000 0.0000
# Space group   No. 123
# Total energy   -26.129 eV/f.u.
# Calculated density   5.76 Mg/m³

No. 7
# Sm6Pd2S | Alexandria via LeMat-Bulk | GGA-PBE | relaxed
data_Sm6Pd2S
_chemical_formula_sum 'Sm12 Pd4 S2'
_cell_length_a 6.6516
_cell_length_b 7.3981
_cell_length_c 12.0675
_cell_angle_alpha 90.00
_cell_angle_beta 121.52
_cell_angle_gamma 90.00
_space_group_name_H-M_alt 'P 1'
_space_group_IT_number 1
_space_group_name_Hall 'P 1'
loop_
_atom_site_label
_atom_site_type_symbol
_atom_site_fract_x
_atom_site_fract_y
_atom_site_fract_z
Sm1 Sm 0.0914 0.1859 0.4314
Sm2 Sm 0.0914 0.3141 0.9314
Sm3 Sm 0.2617 0.6707 0.4317
Sm4 Sm 0.2617 0.8293 0.9317
Sm5 Sm 0.3983 0.0364 0.2466
Sm6 Sm 0.3983 0.4636 0.7466
Sm7 Sm 0.6017 0.5364 0.2534
Sm8 Sm 0.6017 0.9636 0.7534
Sm9 Sm 0.7383 0.1707 0.0683
Sm10 Sm 0.7383 0.3293 0.5683
Sm11 Sm 0.9086 0.6859 0.0686
Sm12 Sm 0.9086 0.8141 0.5686
Pd1 Pd 0.1768 0.1166 0.7412
Pd2 Pd 0.1768 0.3834 0.2412
Pd3 Pd 0.8232 0.6166 0.7588
Pd4 Pd 0.8232 0.8834 0.2588
S1 S 0.5000 0.0000 0.5000
S2 S 0.5000 0.5000 0.0000
# Space group   No. 14
# Total energy   -49.900 eV/f.u.
# Calculated density   7.53 Mg/m³

No. 8
# SmPdS2 | Alexandria via LeMat-Bulk | GGA-PBE | relaxed
data_SmPdS2
_chemical_formula_sum 'Sm1 Pd1 S2'
_cell_length_a 8.2069
_cell_length_b 8.2069
_cell_length_c 8.2069
_cell_angle_alpha 26.07
_cell_angle_beta 26.07
_cell_angle_gamma 26.07
_space_group_name_H-M_alt 'P 1'
_space_group_IT_number 1
_space_group_name_Hall 'P 1'
loop_
_atom_site_label
_atom_site_type_symbol
_atom_site_fract_x
_atom_site_fract_y
_atom_site_fract_z
Sm1 Sm 0.0000 0.0000 0.0000
Pd1 Pd 0.5000 0.5000 0.5000
S1 S 0.1147 0.1147 0.1147
S2 S 0.8853 0.8853 0.8853
# Space group   No. 166
# E above lowest polymorph   286 kJ/mol of formula units
# Calculated density   5.66 Mg/m³

No. 9
# SmPd3S4 | Alexandria via LeMat-Bulk | GGA-PBE | relaxed
data_SmPd3S4
_chemical_formula_sum 'Sm2 Pd6 S8'
_cell_length_a 6.7361
_cell_length_b 6.7361
_cell_length_c 6.7361
_cell_angle_alpha 90.00
_cell_angle_beta 90.00
_cell_angle_gamma 90.00
_space_group_name_H-M_alt 'P 1'
_space_group_IT_number 1
_space_group_name_Hall 'P 1'
loop_
_atom_site_label
_atom_site_type_symbol
_atom_site_fract_x
_atom_site_fract_y
_atom_site_fract_z
Sm1 Sm 0.0000 0.0000 0.0000
Sm2 Sm 0.5000 0.5000 0.5000
Pd1 Pd 0.0000 0.2500 0.5000
Pd2 Pd 0.0000 0.7500 0.5000
Pd3 Pd 0.2500 0.5000 0.0000
Pd4 Pd 0.5000 0.0000 0.2500
Pd5 Pd 0.5000 0.0000 0.7500
Pd6 Pd 0.7500 0.5000 0.0000
S1 S 0.2500 0.2500 0.2500
S2 S 0.2500 0.2500 0.7500
S3 S 0.2500 0.7500 0.2500
S4 S 0.2500 0.7500 0.7500
S5 S 0.7500 0.2500 0.2500
S6 S 0.7500 0.2500 0.7500
S7 S 0.7500 0.7500 0.2500
S8 S 0.7500 0.7500 0.7500
# Space group   No. 223
# Total energy   -44.015 eV/f.u.
# Calculated density   6.50 Mg/m³

No. 10
# SmPdS2 | Alexandria via LeMat-Bulk | GGA-PBE | relaxed
data_SmPdS2
_chemical_formula_sum 'Sm1 Pd1 S2'
_cell_length_a 7.3439
_cell_length_b 7.3439
_cell_length_c 7.3439
_cell_angle_alpha 31.93
_cell_angle_beta 31.93
_cell_angle_gamma 31.93
_space_group_name_H-M_alt 'P 1'
_space_group_IT_number 1
_space_group_name_Hall 'P 1'
loop_
_atom_site_label
_atom_site_type_symbol
_atom_site_fract_x
_atom_site_fract_y
_atom_site_fract_z
Sm1 Sm 0.0000 0.0000 0.0000
Pd1 Pd 0.2267 0.2267 0.2267
S1 S 0.5626 0.5626 0.5626
S2 S 0.7326 0.7326 0.7326
# Space group   No. 160
# E above lowest polymorph   0 kJ/mol of formula units
# Calculated density   5.41 Mg/m³

No. 11
# Sm3Pd5S12 | Alexandria via LeMat-Bulk | GGA-PBE | relaxed
data_Sm3Pd5S12
_chemical_formula_sum 'Sm12 Pd20 S48'
_cell_length_a 13.0826
_cell_length_b 13.0826
_cell_length_c 13.0826
_cell_angle_alpha 109.47
_cell_angle_beta 109.47
_cell_angle_gamma 109.47
_space_group_name_H-M_alt 'P 1'
_space_group_IT_number 1
_space_group_name_Hall 'P 1'
loop_
_atom_site_label
_atom_site_type_symbol
_atom_site_fract_x
_atom_site_fract_y
_atom_site_fract_z
Sm1 Sm 0.1250 0.2500 0.3750
Sm2 Sm 0.1250 0.3750 0.7500
Sm3 Sm 0.2500 0.3750 0.1250
Sm4 Sm 0.2500 0.8750 0.6250
Sm5 Sm 0.3750 0.1250 0.2500
Sm6 Sm 0.3750 0.7500 0.1250
Sm7 Sm 0.6250 0.2500 0.8750
Sm8 Sm 0.6250 0.8750 0.7500
Sm9 Sm 0.7500 0.1250 0.3750
Sm10 Sm 0.7500 0.6250 0.8750
Sm11 Sm 0.8750 0.6250 0.2500
Sm12 Sm 0.8750 0.7500 0.6250
Pd1 Pd 0.0000 0.0000 0.0000
Pd2 Pd 0.0000 0.0000 0.5000
Pd3 Pd 0.0000 0.5000 0.0000
Pd4 Pd 0.0000 0.5000 0.5000
Pd5 Pd 0.1250 0.7500 0.8750
Pd6 Pd 0.1250 0.8750 0.2500
Pd7 Pd 0.2500 0.1250 0.8750
Pd8 Pd 0.2500 0.6250 0.3750
Pd9 Pd 0.3750 0.2500 0.6250
Pd10 Pd 0.3750 0.6250 0.7500
Pd11 Pd 0.5000 0.0000 0.0000
Pd12 Pd 0.5000 0.0000 0.5000
Pd13 Pd 0.5000 0.5000 0.0000
Pd14 Pd 0.5000 0.5000 0.5000
Pd15 Pd 0.6250 0.3750 0.2500
Pd16 Pd 0.6250 0.7500 0.3750
Pd17 Pd 0.7500 0.3750 0.6250
Pd18 Pd 0.7500 0.8750 0.1250
Pd19 Pd 0.8750 0.1250 0.7500
Pd20 Pd 0.8750 0.2500 0.1250
S1 S 0.0337 0.2050 0.1237
S2 S 0.0337 0.3287 0.9101
S3 S 0.0814 0.7050 0.6713
S4 S 0.0814 0.8763 0.4101
S5 S 0.0899 0.6237 0.4186
S6 S 0.0899 0.9663 0.6713
S7 S 0.1237 0.0337 0.2050
S8 S 0.1237 0.5899 0.9186
S9 S 0.1713 0.2050 0.5814
S10 S 0.1713 0.4663 0.5899
S11 S 0.2050 0.1237 0.0337
S12 S 0.2050 0.5814 0.1713
S13 S 0.2950 0.3287 0.9186
S14 S 0.2950 0.4663 0.3763
S15 S 0.3287 0.9101 0.0337
S16 S 0.3287 0.9186 0.2950
S17 S 0.3763 0.2950 0.4663
S18 S 0.3763 0.5814 0.9101
S19 S 0.4101 0.0814 0.8763
S20 S 0.4101 0.8287 0.5337
S21 S 0.4186 0.0899 0.6237
S22 S 0.4186 0.8287 0.7950
S23 S 0.4663 0.3763 0.2950
S24 S 0.4663 0.5899 0.1713
S25 S 0.5337 0.4101 0.8287
S26 S 0.5337 0.6237 0.7050
S27 S 0.5814 0.1713 0.2050
S28 S 0.5814 0.9101 0.3763
S29 S 0.5899 0.1713 0.4663
S30 S 0.5899 0.9186 0.1237
S31 S 0.6237 0.4186 0.0899
S32 S 0.6237 0.7050 0.5337
S33 S 0.6713 0.0814 0.7050
S34 S 0.6713 0.0899 0.9663
S35 S 0.7050 0.5337 0.6237
S36 S 0.7050 0.6713 0.0814
S37 S 0.7950 0.4186 0.8287
S38 S 0.7950 0.8763 0.9663
S39 S 0.8287 0.5337 0.4101
S40 S 0.8287 0.7950 0.4186
S41 S 0.8763 0.4101 0.0814
S42 S 0.8763 0.9663 0.7950
S43 S 0.9101 0.0337 0.3287
S44 S 0.9101 0.3763 0.5814
S45 S 0.9186 0.1237 0.5899
S46 S 0.9186 0.2950 0.3287
S47 S 0.9663 0.6713 0.0899
S48 S 0.9663 0.7950 0.8763
# Space group   No. 230
# Total energy   -104.604 eV/f.u.
# Calculated density   5.27 Mg/m³

No. 12
# SmPdS | Alexandria via LeMat-Bulk | GGA-PBE | relaxed
data_SmPdS
_chemical_formula_sum 'Sm2 Pd2 S2'
_cell_length_a 3.8084
_cell_length_b 3.8084
_cell_length_c 8.6505
_cell_angle_alpha 90.00
_cell_angle_beta 90.00
_cell_angle_gamma 90.00
_space_group_name_H-M_alt 'P 1'
_space_group_IT_number 1
_space_group_name_Hall 'P 1'
loop_
_atom_site_label
_atom_site_type_symbol
_atom_site_fract_x
_atom_site_fract_y
_atom_site_fract_z
Sm1 Sm 0.2500 0.2500 0.2272
Sm2 Sm 0.7500 0.7500 0.7728
Pd1 Pd 0.2500 0.2500 0.5650
Pd2 Pd 0.7500 0.7500 0.4350
S1 S 0.2500 0.2500 0.8645
S2 S 0.7500 0.7500 0.1355
# Space group   No. 129
# Total energy   -18.202 eV/f.u.
# Calculated density   7.65 Mg/m³

Number 1: M_tot 0.0 μB per formula unit. Number 2: M_tot 0.0 μB per formula unit. Number 3: M_tot 0.0 μB per formula unit. Number 4: M_tot 1.3 μB per formula unit. Number 5: M_tot 1.5 μB per formula unit. Number 6: M_tot 0.2 μB per formula unit. Number 7: M_tot 0.0 μB per formula unit. Number 8: M_tot 0.0 μB per formula unit. Number 9: M_tot 0.0 μB per formula unit. Number 10: M_tot 0.0 μB per formula unit. Number 11: M_tot 0.0 μB per formula unit. Number 12: M_tot 0.0 μB per formula unit.